[1]
DFT (GGA-PBE) results for crystalline LiAg2 at its relaxed geometry.

Structure (CIF):
```
data_LiAg2
_symmetry_space_group_name_H-M 'I m m m'
_symmetry_Int_Tables_number 71
_symmetry_space_group_name_Hall '-I 2 2'
_cell_length_a 2.9335
_cell_length_b 3.9658
_cell_length_c 8.7239
_cell_angle_alpha 90.00
_cell_angle_beta 90.00
_cell_angle_gamma 90.00
loop_
_atom_site_label
_atom_site_type_symbol
_atom_site_fract_x
_atom_site_fract_y
_atom_site_fract_z
Li1 Li 0.0000 0.0000 0.0000
Ag1 Ag 0.0000 0.0000 0.3364
```

Results
Final energy (eV per atom): -2.69
E above lowest polymorph (eV/atom): 0.0091
Density of states at the Fermi level (states/eV/f.u.): 0.932

***

[2]
DFT (GGA-PBE) results for crystalline Rb3DyNp3S8 at its relaxed geometry.

Structure (CIF):
```
data_Rb3DyNp3S8
_symmetry_space_group_name_H-M 'R -3 m'
_symmetry_Int_Tables_number 166
_symmetry_space_group_name_Hall '-R 3 2"'
_cell_length_a 8.1289
_cell_length_b 8.1289
_cell_length_c 23.3286
_cell_angle_alpha 90.00
_cell_angle_beta 90.00
_cell_angle_gamma 120.00
loop_
_atom_site_label
_atom_site_type_symbol
_atom_site_fract_x
_atom_site_fract_y
_atom_site_fract_z
Rb1 Rb 0.0000 0.5000 0.0000
Dy1 Dy 0.0000 0.0000 0.5000
Np1 Np 0.0000 0.5000 0.5000
S1 S 0.0000 0.0000 0.2291
S2 S 0.0010 0.5005 0.7713
```

Results
Formation energy from raw total energies (eV per atom): -1.508
Final energy (eV per atom): -6.80
Density of states at the Fermi level (states/eV/f.u.): 27.701

***

[3]
DFT (GGA-PBE) results for crystalline NaOsI3 at its relaxed geometry.

Structure (CIF):
```
data_NaOsI3
_symmetry_space_group_name_H-M 'P m -3 m'
_symmetry_Int_Tables_number 221
_symmetry_space_group_name_Hall '-P 4 2 3'
_cell_length_a 5.5454
_cell_length_b 5.5454
_cell_length_c 5.5454
_cell_angle_alpha 90.00
_cell_angle_beta 90.00
_cell_angle_gamma 90.00
loop_
_atom_site_label
_atom_site_type_symbol
_atom_site_fract_x
_atom_site_fract_y
_atom_site_fract_z
Na1 Na 0.0000 0.0000 0.0000
Os1 Os 0.5000 0.5000 0.5000
I1 I 0.0000 0.5000 0.5000
```

Results
Formation energy from raw total energies (eV per atom): 0.194
Final energy (eV per atom): -3.25
Density of states at the Fermi level (states/eV/f.u.): 6.562

***

[4]
DFT (GGA-PBE) results for crystalline Ta2CuRu at its relaxed geometry.

Structure (CIF):
```
data_Ta2CuRu
_symmetry_space_group_name_H-M 'I m m m'
_symmetry_Int_Tables_number 71
_symmetry_space_group_name_Hall '-I 2 2'
_cell_length_a 4.0222
_cell_length_b 4.0383
_cell_length_c 7.6666
_cell_angle_alpha 90.00
_cell_angle_beta 90.00
_cell_angle_gamma 90.00
loop_
_atom_site_label
_atom_site_type_symbol
_atom_site_fract_x
_atom_site_fract_y
_atom_site_fract_z
Ta1 Ta 0.0000 0.0000 0.2498
Cu1 Cu 0.0000 0.5000 0.0000
Ru1 Ru 0.0000 0.5000 0.5000
```

Results
Final energy (eV per atom): -9.35
Density of states at the Fermi level (states/eV/f.u.): 3.171

***

[5]
DFT (GGA-PBE) results for crystalline Dy12TlCu6 at its relaxed geometry.

Structure (CIF):
```
data_Dy12TlCu6
_symmetry_space_group_name_H-M 'I m -3'
_symmetry_Int_Tables_number 204
_symmetry_space_group_name_Hall '-I 2 2 3'
_cell_length_a 9.8603
_cell_length_b 9.8603
_cell_length_c 9.8603
_cell_angle_alpha 90.00
_cell_angle_beta 90.00
_cell_angle_gamma 90.00
loop_
_atom_site_label
_atom_site_type_symbol
_atom_site_fract_x
_atom_site_fract_y
_atom_site_fract_z
Dy1 Dy 0.0000 0.1890 0.2977
Tl1 Tl 0.0000 0.0000 0.0000
Cu1 Cu 0.0000 0.3762 0.5000
```

Results
Final energy (eV per atom): -4.52
Density of states at the Fermi level (states/eV/f.u.): 11.805

***

[6]
DFT (GGA-PBE) results for crystalline Sn2Hg3Bi at its relaxed geometry.

Structure (CIF):
```
data_Sn2Hg3Bi
_symmetry_space_group_name_H-M 'C 1 2/m 1'
_symmetry_Int_Tables_number 12
_cell_length_a 11.8885
_cell_length_b 4.3901
_cell_length_c 13.2918
_cell_angle_alpha 90.00
_cell_angle_beta 90.14
_cell_angle_gamma 90.00
loop_
_symmetry_equiv_pos_as_xyz
'x,y,z'
'-x,-y,-z'
'-x,y,-z'
'x,-y,z'
'x+1/2,y+1/2,z'
'-x+1/2,-y+1/2,-z'
'-x+1/2,y+1/2,-z'
'x+1/2,-y+1/2,z'
loop_
_atom_site_label
_atom_site_type_symbol
_atom_site_fract_x
_atom_site_fract_y
_atom_site_fract_z
Sn1 Sn 0.1514 0.0000 0.1591
Sn2 Sn 0.1720 0.5000 0.6615
Hg1 Hg 0.0897 0.5000 0.3272
Hg2 Hg 0.1275 0.0000 0.4970
Hg3 Hg 0.1303 0.5000 0.0038
Bi1 Bi 0.1162 0.0000 0.8234
```

Results
Final energy (eV per atom): -2.07
Density of states at the Fermi level (states/eV/f.u.): 2.154

***

[7]
DFT (GGA-PBE) results for crystalline Dy8Mg2Ag at its relaxed geometry.

Structure (CIF):
```
data_Dy8Mg2Ag
_symmetry_space_group_name_H-M 'C 1 2/m 1'
_symmetry_Int_Tables_number 12
_cell_length_a 17.6587
_cell_length_b 5.3645
_cell_length_c 7.1013
_cell_angle_alpha 90.00
_cell_angle_beta 108.26
_cell_angle_gamma 90.00
loop_
_symmetry_equiv_pos_as_xyz
'x,y,z'
'-x,-y,-z'
'-x,y,-z'
'x,-y,z'
'x+1/2,y+1/2,z'
'-x+1/2,-y+1/2,-z'
'-x+1/2,y+1/2,-z'
'x+1/2,-y+1/2,z'
loop_
_atom_site_label
_atom_site_type_symbol
_atom_site_fract_x
_atom_site_fract_y
_atom_site_fract_z
Dy1 Dy 0.0207 0.0000 0.2699
Dy2 Dy 0.0956 0.5000 0.9455
Dy3 Dy 0.1596 0.5000 0.4478
Dy4 Dy 0.1917 0.0000 0.7674
Mg1 Mg 0.1872 0.0000 0.1985
Ag1 Ag 0.0000 0.5000 0.5000
```

Results
Final energy (eV per atom): -3.88
Density of states at the Fermi level (states/eV/f.u.): 12.779

***

[8]
DFT (GGA-PBE) results for crystalline Tm4AlPt at its relaxed geometry.

Structure (CIF):
```
data_Tm4AlPt
_symmetry_space_group_name_H-M 'C 1 2/c 1'
_symmetry_Int_Tables_number 15
_cell_length_a 8.7367
_cell_length_b 13.2911
_cell_length_c 5.7437
_cell_angle_alpha 90.00
_cell_angle_beta 112.44
_cell_angle_gamma 90.00
loop_
_symmetry_equiv_pos_as_xyz
'x,y,z'
'-x,-y,-z'
'-x,y,-z+1/2'
'x,-y,z+1/2'
'x+1/2,y+1/2,z'
'-x+1/2,-y+1/2,-z'
'-x+1/2,y+1/2,-z+1/2'
'x+1/2,-y+1/2,z+1/2'
loop_
_atom_site_label
_atom_site_type_symbol
_atom_site_fract_x
_atom_site_fract_y
_atom_site_fract_z
Tm1 Tm 0.1175 0.1785 0.0706
Tm2 Tm 0.2078 0.4267 0.3344
Al1 Al 0.0000 0.3742 0.7500
Pt1 Pt 0.0000 0.0002 0.2500
```

Results
Final energy (eV per atom): -5.15
E above lowest polymorph (eV/atom): 0.1287
Density of states at the Fermi level (states/eV/f.u.): 6.842

***

Repeat the eighth record exactly.
DFT (GGA-PBE) results for crystalline Tm4AlPt at its relaxed geometry.

Structure (CIF):
```
data_Tm4AlPt
_symmetry_space_group_name_H-M 'C 1 2/c 1'
_symmetry_Int_Tables_number 15
_cell_length_a 8.7367
_cell_length_b 13.2911
_cell_length_c 5.7437
_cell_angle_alpha 90.00
_cell_angle_beta 112.44
_cell_angle_gamma 90.00
loop_
_symmetry_equiv_pos_as_xyz
'x,y,z'
'-x,-y,-z'
'-x,y,-z+1/2'
'x,-y,z+1/2'
'x+1/2,y+1/2,z'
'-x+1/2,-y+1/2,-z'
'-x+1/2,y+1/2,-z+1/2'
'x+1/2,-y+1/2,z+1/2'
loop_
_atom_site_label
_atom_site_type_symbol
_atom_site_fract_x
_atom_site_fract_y
_atom_site_fract_z
Tm1 Tm 0.1175 0.1785 0.0706
Tm2 Tm 0.2078 0.4267 0.3344
Al1 Al 0.0000 0.3742 0.7500
Pt1 Pt 0.0000 0.0002 0.2500
```

Results
Final energy (eV per atom): -5.15
E above lowest polymorph (eV/atom): 0.1287
Density of states at the Fermi level (states/eV/f.u.): 6.842

***

Q: Look up the final energy of the first one.
A: -2.69 eV per atom